Entry 1:
Computed, not measured: crystalline VInHg at its relaxed geometry at the PBE level of DFT.

a b c (Å): 4.908 5.808 13.765
angles (deg): 133.64 118.07 30.57
Fractional positions:
In: 0.408 0.669 0.365
In: 0.971 0.982 0.069
Hg: 0.738 0.433 0.853
V: 0.890 0.614 0.114
Hg: 0.641 0.218 0.581
V: 0.490 0.037 0.320

Results
DFT formation energy (eV/atom): 0.19
Final energy (eV per atom): -3.86

Entry 2:
Computed, not measured: crystalline LaZn2P at its relaxed geometry at the PBE level of DFT.

a b c (Å): 6.044 6.044 6.044
angles (deg): 40.81 40.81 40.81
Fractional positions:
Zn: 0.720 0.720 0.720
P: 0.000 0.000 0.000
Zn: 0.280 0.280 0.280
La: 0.500 0.500 0.500

Results
DFT formation energy (eV/atom): -0.33
Final energy (eV per atom): -3.55

Entry 3:
Computed, not measured: crystalline LaMg2RhPb at its relaxed geometry at the PBE level of DFT.

a b c (Å): 4.959 4.959 5.236
angles (deg): 90.00 90.00 90.00
Fractional positions:
Rh: 0.000 0.000 0.000
La: 0.500 0.500 0.500
Mg: 0.500 0.000 0.000
Mg: 0.000 0.500 0.000
Pb: 0.000 0.000 0.500

Results
DFT formation energy (eV/atom): -0.31
Final energy (eV per atom): -4.14
Distance to the lowest polymorph of the same formula (eV per atom): 0.0422

Entry 4:
Computed, not measured: crystalline Sc4PN at its relaxed geometry at the PBE level of DFT.

a b c (Å): 5.692 6.196 7.301
angles (deg): 108.97 106.37 104.74
Fractional positions:
Sc: 0.807 0.647 0.593
N: 0.187 0.937 0.875
Sc: 0.714 0.054 0.407
Sc: 0.030 0.817 0.097
N: 0.813 0.063 0.125
Sc: 0.433 0.721 0.903
Sc: 0.567 0.279 0.097
P: 0.359 0.609 0.218
Sc: 0.193 0.353 0.407
Sc: 0.286 0.946 0.593
P: 0.641 0.391 0.782
Sc: 0.970 0.183 0.903

Results
Raw formation energy (meV/atom): -1083
Final energy (eV per atom): -7.59

Entry 5:
Computed, not measured: crystalline DyScSi2 at its relaxed geometry at the PBE level of DFT.

a b c (Å): 4.144 3.760 5.527
angles (deg): 90.00 112.02 90.00
Fractional positions:
Sc: 0.721 0.000 0.981
Si: 0.006 0.000 0.551
Si: 0.162 0.500 0.863
Dy: 0.442 0.500 0.422

Results
Raw formation energy (meV/atom): -804
Final energy (eV per atom): -6.25
Distance to the lowest polymorph of the same formula (eV per atom): 0.0000

Entry 6:
Computed, not measured: crystalline CsAg2Te2Au at its relaxed geometry at the PBE level of DFT.

a b c (Å): 4.955 7.487 11.845
angles (deg): 90.00 90.00 90.00
Fractional positions:
Cs: 0.500 0.500 0.000
Au: 0.000 0.000 0.000
Te: 0.500 0.688 0.314
Ag: 0.000 0.458 0.725
Te: 0.500 0.312 0.686
Te: 0.000 0.188 0.186
Ag: 0.500 0.958 0.775
Ag: 0.500 0.042 0.225
Te: 0.000 0.812 0.814
Ag: 0.000 0.542 0.275
Cs: 0.000 0.000 0.500
Au: 0.500 0.500 0.500

Results
Raw formation energy (meV/atom): -359
Final energy (eV per atom): -3.04

Entry 7:
Computed, not measured: crystalline CeSbH at its relaxed geometry at the PBE level of DFT.

a b c (Å): 4.341 4.047 4.047
angles (deg): 120.00 90.00 90.00
Last column: magnetic moment on the atom in μB.
Fractional positions:
Ce: 0.167 0.667 0.333  -0.17
Sb: 0.667 0.333 0.667  0.02
H: 0.166 0.000 0.000  0.00

Results
Final energy (eV per atom): -5.22
Distance to the lowest polymorph of the same formula (eV per atom): 0.0000

Entry 8:
Computed, not measured: crystalline Sm2HoGa2 at its relaxed geometry at the PBE level of DFT.

a b c (Å): 4.466 7.687 7.687
angles (deg): 90.00 90.00 90.00
Fractional positions:
Ga: 0.000 0.620 0.120
Ga: 0.000 0.120 0.380
Ga: 0.000 0.880 0.620
Sm: 0.500 0.825 0.325
Ho: 0.000 0.000 0.000
Sm: 0.500 0.675 0.825
Ga: 0.000 0.380 0.880
Sm: 0.500 0.175 0.675
Sm: 0.500 0.325 0.175
Ho: 0.000 0.500 0.500

Results
DFT formation energy (eV/atom): -0.52
Final energy (eV per atom): -4.53
Distance to the lowest polymorph of the same formula (eV per atom): 0.0000